Computed, not measured: crystalline Ba2TcNi at its relaxed geometry at the PBE level of DFT.

The structure in POSCAR format:
```
Ba2TcNi
1.0
5.6163 0.0000 0.0000
0.0000 5.6163 0.0000
0.0000 0.0000 3.6515
Ba Tc Ni
2 1 1
direct
0.0000 0.5000 0.0000 Ba
0.5000 0.0000 0.0000 Ba
0.0000 0.0000 0.5000 Tc
0.5000 0.5000 0.5000 Ni
```

Calculated values
Space group: No. 123
E_tot (Ry per atom): -0.30414
ΔE_f (meV/atom): 860
Spin magnetization (μB per formula unit): 2.91